DFT (PBE-GGA) results for crystalline Hf2NbAgN at its relaxed geometry.

Unit cell a=4.4656 b=4.4656 c=4.2141 alpha=90.00 beta=90.00 gamma=90.00
With the nearest neighbours (Å) after each atom.
Sites, in units of the cell vectors:
Hf (0.0000, 0.5000, 0.0000)  2 N 2.23
Hf (0.5000, 0.0000, 0.0000)  2 N 2.23
Nb (0.0000, 0.0000, 0.5000)  2 N 2.11
Ag (0.5000, 0.5000, 0.5000)  8 Hf 3.07, 4 Nb 3.16
N (0.0000, 0.0000, 0.0000)  2 Nb 2.11, 4 Hf 2.23

* SG: P4/mmm
* uncorrected formation energy: -612 meV per atom
* M_tot: 0.00 μB/cell
* theoretical density: 11.30 g cm⁻³
* calculated total energy: -8.84 eV/atom